First-principles (PBE) data for a relaxed Ho2FeSi4Pt3 crystal, as listed in the Alexandria database.

Computed properties:
Formation energy from raw total energies ... -0.993 eV/atom
Crystal system ... tetragonal
Fermi-level density of states ... 3.10 states/eV/f.u.

Cell lengths 4.073, 4.073, 10.044 Å; angles 90.00, 90.00, 90.00 degrees
Fractional coordinates of all 10 atoms:
Ho  0.000  0.500  0.246
Ho  0.500  0.000  0.754
Fe  0.500  0.500  0.000
Si  0.000  0.000  0.500
Si  0.000  0.500  0.873
Si  0.500  0.000  0.127
Si  0.500  0.500  0.500
Pt  0.000  0.000  0.000
Pt  0.000  0.500  0.632
Pt  0.500  0.000  0.368



First-principles (PBE) data for a relaxed Ho3Pu2Fe4 crystal, as listed in the Alexandria database.

Computed properties:
Calculated formation energy ... -0.129 eV per atom
Crystal system ... monoclinic
Fermi-level density of states ... 8.51 states/eV/f.u.

Cell lengths 5.715, 5.715, 8.427 Å; angles 101.98, 101.98, 41.04 degrees
Fractional coordinates of all 9 atoms:
Ho  0.000  0.000  0.000
Ho  0.375  0.375  0.618
Ho  0.625  0.625  0.382
Pu  0.327  0.327  0.219
Pu  0.673  0.673  0.781
Fe  0.085  0.085  0.632
Fe  0.270  0.270  0.910
Fe  0.730  0.730  0.090
Fe  0.915  0.915  0.368



First-principles (PBE) data for a relaxed HoPu3Fe crystal, as listed in the Alexandria database.

Computed properties:
Calculated formation energy ... 0.231 eV per atom
Crystal system ... cubic
Fermi-level density of states ... 18.31 states/eV/f.u.

Cell lengths 5.123, 5.123, 5.123 Å; angles 90.00, 90.00, 90.00 degrees
Fractional coordinates of all 5 atoms:
Ho  0.000  0.000  0.000
Pu  0.000  0.500  0.500
Pu  0.500  0.000  0.500
Pu  0.500  0.500  0.000
Fe  0.500  0.500  0.500



First-principles (PBE) data for a relaxed HoPuFe crystal, as listed in the Alexandria database.

Computed properties:
Calculated formation energy ... 0.088 eV per atom
Offset from the most stable computed form ... 0.0000 eV per atom
Crystal system ... tetragonal
Fermi-level density of states ... 6.17 states/eV/f.u.

Cell lengths 6.032, 6.032, 6.032 Å; angles 146.94, 146.94, 47.45 degrees
Fractional coordinates of all 3 atoms:
Ho  0.000  0.000  0.000
Pu  0.283  0.283  0.000
Fe  0.678  0.678  0.000



First-principles (PBE) data for a relaxed HoPuFe10 crystal, as listed in the Alexandria database.

Computed properties:
Calculated formation energy ... 0.079 eV per atom
Crystal system ... orthorhombic
Fermi-level density of states ... 23.52 states/eV/f.u.

Cell lengths 3.950, 4.964, 8.606 Å; angles 90.00, 90.00, 90.00 degrees
Fractional coordinates of all 12 atoms:
Ho  0.000  0.000  0.000
Pu  0.000  0.500  0.500
Fe  0.000  0.000  0.334
Fe  0.000  0.000  0.666
Fe  0.000  0.500  0.167
Fe  0.000  0.500  0.833
Fe  0.500  0.000  0.500
Fe  0.500  0.249  0.249
Fe  0.500  0.249  0.751
Fe  0.500  0.500  0.000
Fe  0.500  0.751  0.249
Fe  0.500  0.751  0.751



First-principles (PBE) data for a relaxed HoPuFe4 crystal, as listed in the Alexandria database.

Computed properties:
Calculated formation energy ... -0.081 eV per atom
Crystal system ... cubic
Fermi-level density of states ... 11.90 states/eV/f.u.

Cell lengths 5.096, 5.096, 5.096 Å; angles 60.00, 60.00, 60.00 degrees
Fractional coordinates of all 6 atoms:
Ho  0.000  0.000  0.000
Pu  0.750  0.750  0.750
Fe  0.375  0.375  0.375
Fe  0.375  0.375  0.874
Fe  0.375  0.874  0.375
Fe  0.874  0.375  0.375



First-principles (PBE) data for a relaxed Ho2PuFe2 crystal, as listed in the Alexandria database.

Computed properties:
Calculated formation energy ... -0.097 eV per atom
Crystal system ... monoclinic
Fermi-level density of states ... 6.61 states/eV/f.u.

Cell lengths 5.581, 5.581, 7.516 Å; angles 99.01, 99.01, 61.83 degrees
Fractional coordinates of all 10 atoms:
Ho  0.035  0.269  0.151
Ho  0.269  0.035  0.651
Ho  0.731  0.965  0.349
Ho  0.965  0.731  0.849
Pu  0.389  0.611  0.250
Pu  0.611  0.389  0.750
Fe  0.249  0.499  0.492
Fe  0.499  0.249  0.992
Fe  0.501  0.751  0.008
Fe  0.751  0.501  0.508



First-principles (PBE) data for a relaxed HoPuFe crystal, as listed in the Alexandria database.

Computed properties:
Calculated formation energy ... 0.321 eV per atom
Offset from the most stable computed form ... 0.2329 eV per atom
Crystal system ... monoclinic
Fermi-level density of states ... 6.04 states/eV/f.u.

Cell lengths 6.222, 6.222, 7.864 Å; angles 113.34, 113.34, 29.61 degrees
Fractional coordinates of all 6 atoms:
Ho  0.096  0.096  0.362
Ho  0.904  0.904  0.638
Pu  0.312  0.312  0.211
Pu  0.688  0.688  0.789
Fe  0.098  0.098  0.988
Fe  0.902  0.902  0.012



First-principles (PBE) data for a relaxed HoPuFeRu crystal, as listed in the Alexandria database.

Computed properties:
Calculated formation energy ... -0.109 eV per atom
Crystal system ... cubic
Fermi-level density of states ... 5.57 states/eV/f.u.

Cell lengths 4.766, 4.766, 4.766 Å; angles 60.00, 60.00, 60.00 degrees
Fractional coordinates of all 4 atoms:
Ho  0.000  0.000  0.000
Pu  0.500  0.500  0.500
Fe  0.250  0.250  0.250
Ru  0.750  0.750  0.750



First-principles (PBE) data for a relaxed HoPuZnFe crystal, as listed in the Alexandria database.

Computed properties:
Calculated formation energy ... 0.011 eV per atom
Crystal system ... cubic
Fermi-level density of states ... 9.03 states/eV/f.u.

Cell lengths 4.886, 4.886, 4.886 Å; angles 60.00, 60.00, 60.00 degrees
Fractional coordinates of all 4 atoms:
Ho  0.000  0.000  0.000
Pu  0.500  0.500  0.500
Zn  0.250  0.250  0.250
Fe  0.750  0.750  0.750



First-principles (PBE) data for a relaxed HoFeRe crystal, as listed in the Alexandria database.

Computed properties:
Calculated formation energy ... 0.522 eV per atom
Offset from the most stable computed form ... 0.6427 eV per atom
Crystal system ... tetragonal
Fermi-level density of states ... 3.09 states/eV/f.u.

Cell lengths 6.530, 6.530, 5.778 Å; angles 90.00, 90.00, 90.00 degrees
Fractional coordinates of all 12 atoms:
Ho  0.241  0.241  0.000
Ho  0.259  0.741  0.250
Ho  0.741  0.259  0.750
Ho  0.759  0.759  0.500
Fe  0.064  0.064  0.500
Fe  0.436  0.564  0.750
Fe  0.564  0.436  0.250
Fe  0.936  0.936  0.000
Re  0.184  0.816  0.750
Re  0.316  0.316  0.500
Re  0.684  0.684  0.000
Re  0.816  0.184  0.250



First-principles (PBE) data for a relaxed HoFe10Re2 crystal, as listed in the Alexandria database.

Computed properties:
Calculated formation energy ... -0.039 eV per atom
Crystal system ... orthorhombic
Fermi-level density of states ... 12.17 states/eV/f.u.

Cell lengths 6.470, 6.470, 6.470 Å; angles 137.50, 98.47, 96.63 degrees
Fractional coordinates of all 13 atoms:
Ho  0.000  0.000  0.000
Fe  0.000  0.000  0.500
Fe  0.000  0.500  0.000
Fe  0.218  0.500  0.718
Fe  0.230  0.730  0.500
Fe  0.358  0.000  0.358
Fe  0.500  0.000  0.000
Fe  0.500  0.500  0.500
Fe  0.642  0.000  0.642
Fe  0.770  0.270  0.500
Fe  0.782  0.500  0.282
Re  0.358  0.358  0.000
Re  0.642  0.642  0.000



First-principles (PBE) data for a relaxed HoFe4Re crystal, as listed in the Alexandria database.

Computed properties:
Calculated formation energy ... 0.109 eV per atom
Crystal system ... cubic
Fermi-level density of states ... 7.35 states/eV/f.u.

Cell lengths 4.920, 4.920, 4.920 Å; angles 60.00, 60.00, 60.00 degrees
Fractional coordinates of all 6 atoms:
Ho  0.000  0.000  0.000
Fe  0.129  0.624  0.624
Fe  0.624  0.129  0.624
Fe  0.624  0.624  0.129
Fe  0.624  0.624  0.624
Re  0.250  0.250  0.250



First-principles (PBE) data for a relaxed HoFeRe crystal, as listed in the Alexandria database.

Computed properties:
Calculated formation energy ... -0.121 eV per atom
Offset from the most stable computed form ... 0.0000 eV per atom
Crystal system ... orthorhombic
Fermi-level density of states ... 3.30 states/eV/f.u.

Cell lengths 5.301, 5.301, 5.301 Å; angles 121.79, 119.99, 88.47 degrees
Fractional coordinates of all 6 atoms:
Ho  0.374  0.124  0.250
Ho  0.626  0.876  0.750
Fe  0.000  0.500  0.500
Fe  0.500  0.500  0.000
Re  0.000  0.000  0.500
Re  0.000  0.500  0.000



First-principles (PBE) data for a relaxed HoFeReSi2 crystal, as listed in the Alexandria database.

Computed properties:
Formation energy from raw total energies ... -0.553 eV/atom
Crystal system ... tetragonal
Fermi-level density of states ... 4.38 states/eV/f.u.

Cell lengths 5.839, 5.839, 5.839 Å; angles 140.05, 140.05, 57.78 degrees
Fractional coordinates of all 5 atoms:
Ho  0.000  0.000  0.000
Fe  0.750  0.250  0.500
Re  0.250  0.750  0.500
Si  0.380  0.380  0.000
Si  0.620  0.620  0.000



First-principles (PBE) data for a relaxed Ho4FeRh crystal, as listed in the Alexandria database.

Computed properties:
Calculated formation energy ... -0.329 eV per atom
Crystal system ... monoclinic
Fermi-level density of states ... 5.62 states/eV/f.u.

Cell lengths 7.757, 7.757, 6.152 Å; angles 108.39, 108.39, 111.07 degrees
Fractional coordinates of all 12 atoms:
Ho  0.049  0.697  0.903
Ho  0.234  0.358  0.723
Ho  0.303  0.951  0.597
Ho  0.358  0.234  0.223
Ho  0.642  0.766  0.777
Ho  0.697  0.049  0.403
Ho  0.766  0.642  0.277
Ho  0.951  0.303  0.097
Fe  0.001  0.999  0.250
Fe  0.999  0.001  0.750
Rh  0.363  0.637  0.250
Rh  0.637  0.363  0.750



First-principles (PBE) data for a relaxed HoFeSi2Rh crystal, as listed in the Alexandria database.

Computed properties:
Formation energy from raw total energies ... -0.899 eV/atom
Crystal system ... tetragonal
Fermi-level density of states ... 2.32 states/eV/f.u.

Cell lengths 5.617, 5.617, 5.617 Å; angles 138.07, 138.07, 60.79 degrees
Fractional coordinates of all 5 atoms:
Ho  0.000  0.000  0.000
Fe  0.750  0.250  0.500
Si  0.373  0.373  0.000
Si  0.627  0.627  0.000
Rh  0.250  0.750  0.500



First-principles (PBE) data for a relaxed HoTmFeRh crystal, as listed in the Alexandria database.

Computed properties:
Calculated formation energy ... -0.357 eV per atom
Crystal system ... cubic
Fermi-level density of states ... 5.62 states/eV/f.u.

Cell lengths 4.735, 4.735, 4.735 Å; angles 60.00, 60.00, 60.00 degrees
Fractional coordinates of all 4 atoms:
Ho  0.000  0.000  0.000
Tm  0.500  0.500  0.500
Fe  0.750  0.750  0.750
Rh  0.250  0.250  0.250



First-principles (PBE) data for a relaxed Ho2Zn2FeRh5 crystal, as listed in the Alexandria database.

Computed properties:
Calculated formation energy ... -0.481 eV per atom
Crystal system ... tetragonal
Fermi-level density of states ... 5.65 states/eV/f.u.

Cell lengths 9.723, 9.723, 3.485 Å; angles 90.00, 90.00, 90.00 degrees
Fractional coordinates of all 20 atoms:
Ho  0.172  0.328  0.000
Ho  0.328  0.828  0.000
Ho  0.672  0.172  0.000
Ho  0.828  0.672  0.000
Zn  0.128  0.628  0.000
Zn  0.372  0.128  0.000
Zn  0.628  0.872  0.000
Zn  0.872  0.372  0.000
Fe  0.000  0.000  0.000
Fe  0.500  0.500  0.000
Rh  0.000  0.500  0.500
Rh  0.064  0.804  0.500
Rh  0.196  0.064  0.500
Rh  0.304  0.564  0.500
Rh  0.436  0.304  0.500
Rh  0.500  0.000  0.500
Rh  0.564  0.696  0.500
Rh  0.696  0.436  0.500
Rh  0.804  0.936  0.500
Rh  0.936  0.196  0.500



First-principles (PBE) data for a relaxed HoZrFeRh crystal, as listed in the Alexandria database.

Computed properties:
Calculated formation energy ... -0.389 eV per atom
Crystal system ... cubic
Fermi-level density of states ... 2.60 states/eV/f.u.

Cell lengths 4.666, 4.666, 4.666 Å; angles 60.00, 60.00, 60.00 degrees
Fractional coordinates of all 4 atoms:
Ho  0.000  0.000  0.000
Zr  0.500  0.500  0.500
Fe  0.750  0.750  0.750
Rh  0.250  0.250  0.250



First-principles (PBE) data for a relaxed Ho6Fe2Ru crystal, as listed in the Alexandria database.

Computed properties:
Calculated formation energy ... -0.112 eV per atom
Crystal system ... orthorhombic
Fermi-level density of states ... 7.56 states/eV/f.u.

Cell lengths 8.170, 8.170, 8.170 Å; angles 111.01, 109.46, 107.96 degrees
Fractional coordinates of all 18 atoms:
Ho  0.021  0.200  0.821
Ho  0.249  0.572  0.323
Ho  0.249  0.926  0.677
Ho  0.268  0.309  0.577
Ho  0.268  0.691  0.959
Ho  0.379  0.200  0.179
Ho  0.621  0.800  0.821
Ho  0.732  0.309  0.041
Ho  0.732  0.691  0.423
Ho  0.751  0.074  0.323
Ho  0.751  0.428  0.677
Ho  0.979  0.800  0.179
Fe  0.000  0.126  0.126
Fe  0.000  0.874  0.874
Fe  0.390  0.000  0.390
Fe  0.610  0.000  0.610
Ru  0.000  0.500  0.500
Ru  0.500  0.500  0.000



First-principles (PBE) data for a relaxed HoFe4Ru crystal, as listed in the Alexandria database.

Computed properties:
Calculated formation energy ... 0.012 eV per atom
Crystal system ... cubic
Fermi-level density of states ... 5.23 states/eV/f.u.

Cell lengths 4.957, 4.957, 4.957 Å; angles 60.00, 60.00, 60.00 degrees
Fractional coordinates of all 6 atoms:
Ho  0.000  0.000  0.000
Fe  0.126  0.625  0.625
Fe  0.625  0.126  0.625
Fe  0.625  0.625  0.126
Fe  0.625  0.625  0.625
Ru  0.250  0.250  0.250



First-principles (PBE) data for a relaxed HoFeSi2Ru crystal, as listed in the Alexandria database.

Computed properties:
Formation energy from raw total energies ... -0.773 eV/atom
Crystal system ... tetragonal
Fermi-level density of states ... 3.81 states/eV/f.u.

Cell lengths 5.589, 5.589, 5.589 Å; angles 137.45, 137.45, 61.75 degrees
Fractional coordinates of all 5 atoms:
Ho  0.000  0.000  0.000
Fe  0.250  0.750  0.500
Si  0.370  0.370  0.000
Si  0.630  0.630  0.000
Ru  0.750  0.250  0.500



First-principles (PBE) data for a relaxed HoTaFeRu crystal, as listed in the Alexandria database.

Computed properties:
Calculated formation energy ... -0.142 eV per atom
Crystal system ... cubic
Fermi-level density of states ... 2.49 states/eV/f.u.

Cell lengths 4.552, 4.552, 4.552 Å; angles 60.00, 60.00, 60.00 degrees
Fractional coordinates of all 4 atoms:
Ho  0.000  0.000  0.000
Ta  0.500  0.500  0.500
Fe  0.750  0.750  0.750
Ru  0.250  0.250  0.250



First-principles (PBE) data for a relaxed TbHoFeRu crystal, as listed in the Alexandria database.

Computed properties:
Calculated formation energy ... -0.056 eV per atom
Crystal system ... cubic
Fermi-level density of states ... 8.52 states/eV/f.u.

Cell lengths 4.817, 4.817, 4.817 Å; angles 60.00, 60.00, 60.00 degrees
Fractional coordinates of all 4 atoms:
Tb  0.000  0.000  0.000
Ho  0.500  0.500  0.500
Fe  0.250  0.250  0.250
Ru  0.750  0.750  0.750